[1]
The following is a GGA-PBE calculation of an optimized crystal structure of NdErCuS3, from the Open Quantum Materials Database.

Calculated values
Space-group type: P2_1/m (11)
Electronic total energy in eV per atom: -5.81
Magnetic moment in μB/atom: 0.00

abc: 3.801 10.049 6.660
angles: 90.00 106.11 90.00
Fractional coordinates of all 12 atoms:
Er: 0.000 0.000 0.000
Nd: 0.764 0.250 0.524
S: 0.095 0.250 0.173
S: 0.360 0.072 0.717
S: 0.640 0.928 0.283
S: 0.360 0.428 0.717
S: 0.905 0.750 0.827
Er: 0.000 0.500 0.000
Cu: 0.490 0.250 0.952
Nd: 0.236 0.750 0.476
S: 0.640 0.572 0.283
Cu: 0.510 0.750 0.048


[2]
The following is a GGA-PBE calculation of an optimized crystal structure of Nd2ErCu4Sn4, from the Open Quantum Materials Database.

Calculated values
Space-group type: Immm (71)
Electronic total energy in eV per atom: -4.61
Magnetic moment in μB/atom: 0.00

abc: 8.567 8.567 8.567
angles: 149.10 132.36 57.87
Fractional coordinates of all 11 atoms:
Cu: 0.984 0.668 0.316
Nd: 0.368 0.868 0.500
Sn: 0.709 0.500 0.209
Cu: 0.352 0.668 0.684
Er: 0.000 0.000 0.000
Sn: 0.214 0.214 0.000
Cu: 0.648 0.332 0.316
Sn: 0.786 0.786 0.000
Nd: 0.632 0.132 0.500
Sn: 0.291 0.500 0.791
Cu: 0.016 0.332 0.684


[3]
The following is a GGA-PBE calculation of an optimized crystal structure of Er2CuNi, from the Open Quantum Materials Database.

Calculated values
Space-group type: P2_1/m (11)
Electronic total energy in eV per atom: -5.00
Magnetic moment in μB/atom: 0.00
DFT formation energy in meV per atom: -396

abc: 5.354 4.370 7.269
angles: 90.00 109.85 90.00
Fractional coordinates of all 8 atoms:
Cu: 0.350 0.750 0.714
Cu: 0.650 0.250 0.286
Er: 0.774 0.750 0.571
Er: 0.783 0.750 0.068
Er: 0.217 0.250 0.932
Ni: 0.645 0.250 0.786
Ni: 0.355 0.750 0.214
Er: 0.226 0.250 0.429


Question: Which of these has the lowest electronic total energy?
Answer: NdErCuS3